1.
Below is NaGe2Pd after structural relaxation, with properties calculated at the GGA-PBE level.

CIF file:
```
data_NaGe2Pd
_cell_length_a 4.1690
_cell_length_b 4.1690
_cell_length_c 22.3504
_cell_angle_alpha 90.00
_cell_angle_beta 90.00
_cell_angle_gamma 120.00
_space_group_name_H-M_alt 'R -3 m'
_space_group_IT_number 166
_space_group_name_Hall '-R 3 2"'
loop_
_atom_site_label
_atom_site_type_symbol
_atom_site_fract_x
_atom_site_fract_y
_atom_site_fract_z
Na1 Na 0.0000 0.0000 0.0000
Ge1 Ge 0.0000 0.0000 0.1293
Pd1 Pd 0.0000 0.0000 0.5000
```

The density is 4.1 g/cm³. The formation energy from the elements comes out at -0.058 eV/atom.



2.
Below is YHfNbAg2 after structural relaxation, with properties calculated at the GGA-PBE level.

CIF file:
```
data_YHfNbAg2
_cell_length_a 5.092
_cell_length_b 5.092
_cell_length_c 5.324
_cell_angle_alpha 90.00
_cell_angle_beta 90.00
_cell_angle_gamma 90.00
_space_group_name_H-M_alt 'P 4/m m m'
_space_group_IT_number 123
_space_group_name_Hall '-P 4 2'
loop_
_atom_site_label
_atom_site_type_symbol
_atom_site_fract_x
_atom_site_fract_y
_atom_site_fract_z
Y1 Y 0.000 0.000 0.000
Hf1 Hf 0.000 0.000 0.500
Nb1 Nb 0.500 0.500 0.000
Ag1 Ag 0.000 0.500 0.500
```

The density is 6.9 g/cm³. The formation energy from the elements comes out at 1.482 eV/atom.



3.
Below is Cd3Pb2 after structural relaxation, with properties calculated at the GGA-PBE level.

CIF file:
```
data_Cd3Pb2
_cell_length_a 3.2438
_cell_length_b 3.2438
_cell_length_c 45.0534
_cell_angle_alpha 90.00
_cell_angle_beta 90.00
_cell_angle_gamma 120.00
_space_group_name_H-M_alt 'R -3 m'
_space_group_IT_number 166
_space_group_name_Hall '-R 3 2"'
loop_
_atom_site_label
_atom_site_type_symbol
_atom_site_fract_x
_atom_site_fract_y
_atom_site_fract_z
Cd1 Cd 0.0000 0.0000 0.0000
Cd2 Cd 0.0000 0.0000 0.1992
Pb1 Pb 0.0000 0.0000 0.4004
```

The density is 9.1 g/cm³. The energy relative to the lowest polymorph listed for this composition comes out at 0.025 eV/atom. The formation energy from the elements comes out at 0.060 eV/atom.



4.
Below is TmPu2Mn9 after structural relaxation, with properties calculated at the GGA-PBE level.

CIF file:
```
data_TmPu2Mn9
_cell_length_a 5.0647
_cell_length_b 5.0647
_cell_length_c 24.5417
_cell_angle_alpha 90.00
_cell_angle_beta 90.00
_cell_angle_gamma 120.00
_space_group_name_H-M_alt 'R -3 m'
_space_group_IT_number 166
_space_group_name_Hall '-R 3 2"'
loop_
_atom_site_label
_atom_site_type_symbol
_atom_site_fract_x
_atom_site_fract_y
_atom_site_fract_z
Tm1 Tm 0.0000 0.0000 0.0000
Pu1 Pu 0.0000 0.0000 0.1464
Mn1 Mn 0.0000 0.0000 0.3313
Mn2 Mn 0.0000 0.0000 0.5000
Mn3 Mn 0.0074 0.5037 0.0793
```

The density is 10.5 g/cm³. The formation energy from the elements comes out at 0.077 eV/atom.



5.
Below is CdFeSi2 after structural relaxation, with properties calculated at the GGA-PBE level.

CIF file:
```
data_CdFeSi2
_cell_length_a 6.310
_cell_length_b 6.310
_cell_length_c 6.310
_cell_angle_alpha 90.00
_cell_angle_beta 90.00
_cell_angle_gamma 90.00
_space_group_name_H-M_alt 'F -4 3 m'
_space_group_IT_number 216
_space_group_name_Hall 'F -4 2 3'
loop_
_atom_site_label
_atom_site_type_symbol
_atom_site_fract_x
_atom_site_fract_y
_atom_site_fract_z
Cd1 Cd 0.000 0.000 0.000
Fe1 Fe 0.250 0.250 0.250
Si1 Si 0.000 0.000 0.500
Si2 Si 0.250 0.250 0.750
```

The density is 5.9 g/cm³. The calculation puts the total energy at -4.4187 eV/atom.



6.
Below is NbAl after structural relaxation, with properties calculated at the GGA-PBE level.

CIF file:
```
data_NbAl
_cell_length_a 7.355
_cell_length_b 7.355
_cell_length_c 7.355
_cell_angle_alpha 90.00
_cell_angle_beta 90.00
_cell_angle_gamma 90.00
_space_group_name_H-M_alt 'P m -3 n'
_space_group_IT_number 223
_space_group_name_Hall '-P 4n 2 3'
loop_
_atom_site_label
_atom_site_type_symbol
_atom_site_fract_x
_atom_site_fract_y
_atom_site_fract_z
Nb1 Nb 0.000 0.250 0.500
Al1 Al 0.000 0.500 0.250
```

The density is 3.0 g/cm³. The formation energy from the elements comes out at 1.870 eV/atom.



7.
Below is TmMgPtAu after structural relaxation, with properties calculated at the GGA-PBE level.

CIF file:
```
data_TmMgPtAu
_cell_length_a 6.768
_cell_length_b 6.768
_cell_length_c 6.768
_cell_angle_alpha 90.00
_cell_angle_beta 90.00
_cell_angle_gamma 90.00
_space_group_name_H-M_alt 'F -4 3 m'
_space_group_IT_number 216
_space_group_name_Hall 'F -4 2 3'
loop_
_atom_site_label
_atom_site_type_symbol
_atom_site_fract_x
_atom_site_fract_y
_atom_site_fract_z
Tm1 Tm 0.000 0.000 0.000
Mg1 Mg 0.000 0.000 0.500
Pt1 Pt 0.250 0.250 0.250
Au1 Au 0.250 0.250 0.750
```

The density is 12.5 g/cm³. The formation energy from the elements comes out at -0.925 eV/atom.



8.
Below is ZrMnAlNi after structural relaxation, with properties calculated at the GGA-PBE level.

CIF file:
```
data_ZrMnAlNi
_cell_length_a 6.123
_cell_length_b 6.123
_cell_length_c 6.123
_cell_angle_alpha 90.00
_cell_angle_beta 90.00
_cell_angle_gamma 90.00
_space_group_name_H-M_alt 'F -4 3 m'
_space_group_IT_number 216
_space_group_name_Hall 'F -4 2 3'
loop_
_atom_site_label
_atom_site_type_symbol
_atom_site_fract_x
_atom_site_fract_y
_atom_site_fract_z
Zr1 Zr 0.000 0.000 0.000
Mn1 Mn 0.250 0.250 0.750
Al1 Al 0.000 0.000 0.500
Ni1 Ni 0.250 0.250 0.250
```

The density is 6.7 g/cm³. The formation energy from the elements comes out at -0.290 eV/atom.



9.
Below is SmDy4Sc3 after structural relaxation, with properties calculated at the GGA-PBE level.

CIF file:
```
data_SmDy4Sc3
_cell_length_a 3.332
_cell_length_b 11.196
_cell_length_c 12.561
_cell_angle_alpha 90.00
_cell_angle_beta 90.00
_cell_angle_gamma 90.00
_space_group_name_H-M_alt 'I m m m'
_space_group_IT_number 71
_space_group_name_Hall '-I 2 2'
loop_
_atom_site_label
_atom_site_type_symbol
_atom_site_fract_x
_atom_site_fract_y
_atom_site_fract_z
Sm1 Sm 0.000 0.000 0.000
Dy1 Dy 0.000 0.254 0.133
Sc1 Sc 0.000 0.000 0.500
Sc2 Sc 0.000 0.500 0.259
```

The density is 6.6 g/cm³. The energy relative to the lowest polymorph listed for this composition comes out at 0.148 eV/atom. The formation energy from the elements comes out at 0.180 eV/atom.



10.
Below is NaNdNi after structural relaxation, with properties calculated at the GGA-PBE level.

CIF file:
```
data_NaNdNi
_cell_length_a 9.413
_cell_length_b 4.164
_cell_length_c 8.343
_cell_angle_alpha 90.00
_cell_angle_beta 103.07
_cell_angle_gamma 90.00
_space_group_name_H-M_alt 'C 1 2/m 1'
_space_group_IT_number 12
_space_group_name_Hall '-C 2y'
loop_
_atom_site_label
_atom_site_type_symbol
_atom_site_fract_x
_atom_site_fract_y
_atom_site_fract_z
Na1 Na 0.133 0.000 0.427
Nd1 Nd 0.122 0.500 0.859
Ni1 Ni 0.202 0.500 0.201
```

The density is 4.7 g/cm³. The energy relative to the lowest polymorph listed for this composition comes out at 0.295 eV/atom. The formation energy from the elements comes out at 0.096 eV/atom.



11.
Below is Ta2AsN after structural relaxation, with properties calculated at the GGA-PBE level.

CIF file:
```
data_Ta2AsN
_cell_length_a 6.066
_cell_length_b 6.066
_cell_length_c 6.066
_cell_angle_alpha 90.00
_cell_angle_beta 90.00
_cell_angle_gamma 90.00
_space_group_name_H-M_alt 'F m -3 m'
_space_group_IT_number 225
_space_group_name_Hall '-F 4 2 3'
loop_
_atom_site_label
_atom_site_type_symbol
_atom_site_fract_x
_atom_site_fract_y
_atom_site_fract_z
Ta1 Ta 0.250 0.250 0.250
As1 As 0.000 0.000 0.000
N1 N 0.000 0.000 0.500
```

The density is 13.4 g/cm³. The energy relative to the lowest polymorph listed for this composition comes out at 0.341 eV/atom.



12.
Below is Ac4GeRu after structural relaxation, with properties calculated at the GGA-PBE level.

CIF file:
```
data_Ac4GeRu
_cell_length_a 9.645
_cell_length_b 14.524
_cell_length_c 6.818
_cell_angle_alpha 90.00
_cell_angle_beta 121.23
_cell_angle_gamma 90.00
_space_group_name_H-M_alt 'C 1 2/c 1'
_space_group_IT_number 15
_space_group_name_Hall '-C 2yc'
loop_
_atom_site_label
_atom_site_type_symbol
_atom_site_fract_x
_atom_site_fract_y
_atom_site_fract_z
Ac1 Ac 0.121 0.180 0.085
Ac2 Ac 0.215 0.438 0.302
Ge1 Ge 0.000 0.372 0.750
Ru1 Ru 0.000 0.001 0.250
```

The density is 8.8 g/cm³. The energy relative to the lowest polymorph listed for this composition comes out at 0.000 eV/atom. The formation energy from the elements comes out at -0.318 eV/atom.